# 1
Pb3Se2O | PBE-GGA | optimized geometry

The value obtained for the total moment is 0.00 μB per atom. The value obtained for the energy above the most stable polymorph in this dataset is 0.000 eV per atom.

The structure belongs to space group Pnma (No. 62); the cell edges are 8.8407, 4.2308 and 17.8196 Å and the angles 90.00°, 90.00° and 90.00°. The distinct sites, in fractional coordinates, are Pb at (0.0028, 0.2500, 0.1024), Pb at (0.1422, 0.7500, 0.4215), Pb at (0.1739, 0.2500, 0.7341), Se at (0.0852, 0.2500, 0.2795), Se at (0.2336, 0.7500, 0.0209) and O at (0.1279, 0.2500, 0.8600).


# 2
PbSeO3 | PBE-GGA | optimized geometry

The value obtained for the total moment is 0.00 μB per atom.

The structure belongs to space group Pm-3m (No. 221); the cell edges are 4.0265, 4.0265 and 4.0265 Å and the angles 90.00°, 90.00° and 90.00°. The distinct sites, in fractional coordinates, are Pb at (0.0000, 0.0000, 0.0000), Se at (0.5000, 0.5000, 0.5000) and O at (0.0000, 0.5000, 0.5000).


# 3
Pb2SeO | PBE-GGA | optimized geometry

The value obtained for the total moment is 0.00 μB per atom. The value obtained for the energy above the most stable polymorph in this dataset is 0.115 eV per atom.

The structure belongs to space group R-3m (No. 166, hexagonal axes); the cell edges are 4.0325, 4.0325 and 19.9795 Å and the angles 90.00°, 90.00° and 120.00°. The distinct sites, in fractional coordinates, are Pb at (0.0000, 0.0000, 0.2352), Se at (0.0000, 0.0000, 0.0000) and O at (0.0000, 0.0000, 0.5000).


# 4
PbSeO3 | PBE-GGA | optimized geometry

The value obtained for the total moment is 0.00 μB per atom.

The structure belongs to space group Pm-3m (No. 221); the cell edges are 4.2041, 4.2041 and 4.2041 Å and the angles 90.00°, 90.00° and 90.00°. The distinct sites, in fractional coordinates, are Pb at (0.0000, 0.0000, 0.0000), Se at (0.5000, 0.5000, 0.5000) and O at (0.0000, 0.0000, 0.5000).


# 5
Pb3SeO6 | PBE-GGA | optimized geometry

The value obtained for the total moment is 0.00 μB per atom.

The structure belongs to space group Cmc2_1 (No. 36); the cell edges are 9.6893, 12.6395 and 6.1693 Å and the angles 90.00°, 90.00° and 90.00°. The distinct sites, in fractional coordinates, are Pb at (0.0000, 0.0959, 0.0000), Pb at (0.2142, 0.4088, 0.9901), Se at (0.0000, 0.3068, 0.4651), O at (0.0000, 0.2925, 0.7337), O at (0.0000, 0.4360, 0.3948), O at (0.1419, 0.2501, 0.3573) and O at (0.1547, 0.0031, 0.7435).


# 6
PbSeO2 | PBE-GGA | optimized geometry

The value obtained for the total moment is 0.00 μB per atom. The value obtained for the energy above the most stable polymorph in this dataset is 0.000 eV per atom.

The structure belongs to space group R-3m (No. 166, hexagonal axes); the cell edges are 3.5049, 3.5049 and 20.2149 Å and the angles 90.00°, 90.00° and 120.00°. The distinct sites, in fractional coordinates, are Pb at (0.0000, 0.0000, 0.0000), Se at (0.0000, 0.0000, 0.5000) and O at (0.0000, 0.0000, 0.4042).


# 7
Pb12Se3O5 | PBE-GGA | optimized geometry

The value obtained for the total moment is 0.00 μB per atom.

The structure belongs to space group Ia-3d (No. 230); the cell edges are 16.2638, 16.2638 and 16.2638 Å and the angles 90.00°, 90.00° and 90.00°. The distinct sites, in fractional coordinates, are Pb at (0.0397, 0.0568, 0.6461), Se at (0.0000, 0.2500, 0.1250), O at (0.0000, 0.0000, 0.0000) and O at (0.0000, 0.2500, 0.3750).


# 8
PbSeO3 | PBE-GGA | optimized geometry

The value obtained for the total moment is 0.00 μB per atom.

The structure belongs to space group P2_1/c (No. 14); the cell edges are 9.4635, 8.2403 and 8.9874 Å and the angles 90.00°, 104.66° and 90.00°. The distinct sites, in fractional coordinates, are Pb at (0.0002, 0.1668, 0.1812), Pb at (0.3995, 0.6861, 0.7740), Se at (0.2047, 0.5057, 0.0536), Se at (0.3184, 0.0971, 0.9472), O at (0.1280, 0.1114, 0.8822), O at (0.1314, 0.6769, 0.1225), O at (0.1585, 0.5493, 0.8573), O at (0.3382, 0.6119, 0.4706), O at (0.3510, 0.1616, 0.1342) and O at (0.3871, 0.5532, 0.1108).


Number 1: E_tot -4.56 eV/atom, formation energy without anion corrections -417 kJ/mol of formula units. Number 2: E_tot -5.08 eV/atom, formation energy without anion corrections -323 kJ/mol of formula units. Number 3: E_tot -4.64 eV/atom, formation energy without anion corrections -261 kJ/mol of formula units. Number 4: E_tot -4.19 eV/atom, formation energy without anion corrections 106 kJ/mol of formula units. Number 5: E_tot -5.47 eV/atom, formation energy without anion corrections -994 kJ/mol of formula units. Number 6: E_tot -4.78 eV/atom, formation energy without anion corrections -195 kJ/mol of formula units. Number 7: E_tot -4.39 eV/atom, formation energy without anion corrections -773 kJ/mol of formula units. Number 8: E_tot -5.45 eV/atom, formation energy without anion corrections -500 kJ/mol of formula units.